Record 1
The following is a DFT calculation (meta-GGA SCAN) of a crystal of CsLaSe2N relaxed with PBEsol.

Structure (CIF):
```
data_CsLaSe2N
_chemical_formula_sum 'Cs1 La1 Se2 N1'
_cell_length_a 5.308
_cell_length_b 5.308
_cell_length_c 4.530
_cell_angle_alpha 90.00
_cell_angle_beta 90.00
_cell_angle_gamma 90.00
_symmetry_space_group_name_H-M 'P 4/m m m'
_symmetry_Int_Tables_number 123
_symmetry_space_group_name_Hall '-P 4 2'
loop_
_atom_site_label
_atom_site_type_symbol
_atom_site_fract_x
_atom_site_fract_y
_atom_site_fract_z
_atom_site_occupancy
Cs1 Cs 0.000 0.000 0.000 1
La1 La 0.500 0.500 0.000 1
Se1 Se 0.000 0.500 0.500 1
N1 N 0.500 0.500 0.500 1
```

D(E_F), states/eV/f.u.: 2.9
Formation energy (no corrections), eV/f.u.: -2.913
Calculated total energy, eV for the cell shown: -133.28

Record 2
The following is a DFT calculation (meta-GGA SCAN) of a crystal of Rb2PrBr5 relaxed with PBEsol.

Structure (CIF):
```
data_Rb2PrBr5
_chemical_formula_sum 'Rb8 Pr4 Br20'
_cell_length_a 13.616
_cell_length_b 9.265
_cell_length_c 8.570
_cell_angle_alpha 90.00
_cell_angle_beta 90.00
_cell_angle_gamma 90.00
_symmetry_space_group_name_H-M 'P n m a'
_symmetry_Int_Tables_number 62
loop_
_symmetry_equiv_pos_as_xyz
'x,y,z'
'-x,-y,-z'
'-x+1/2,-y,z+1/2'
'x+1/2,y,-z+1/2'
'x+1/2,-y+1/2,-z+1/2'
'-x+1/2,y+1/2,z+1/2'
'-x,y+1/2,-z'
'x,-y+1/2,z'
loop_
_atom_site_label
_atom_site_type_symbol
_atom_site_fract_x
_atom_site_fract_y
_atom_site_fract_z
_atom_site_occupancy
Rb1 Rb 0.171 0.006 0.065 1
Pr1 Pr 0.006 0.250 0.576 1
Br1 Br 0.009 0.250 0.919 1
Br2 Br 0.071 0.546 0.670 1
Br3 Br 0.183 0.250 0.383 1
Br4 Br 0.203 0.750 0.348 1
```

D(E_F), states/eV/f.u.: 0.0
Formation energy (no corrections), eV/f.u.: -16.791
Calculated total energy, eV for the cell shown: -795.57

Record 3
The following is a DFT calculation (meta-GGA SCAN) of a crystal of RbSc2PdF relaxed with PBEsol.

Structure (CIF):
```
data_RbSc2PdF
_chemical_formula_sum 'Rb1 Sc2 Pd1 F1'
_cell_length_a 4.396
_cell_length_b 4.396
_cell_length_c 5.773
_cell_angle_alpha 90.00
_cell_angle_beta 90.00
_cell_angle_gamma 90.00
_symmetry_space_group_name_H-M 'P 4/m m m'
_symmetry_Int_Tables_number 123
_symmetry_space_group_name_Hall '-P 4 2'
loop_
_atom_site_label
_atom_site_type_symbol
_atom_site_fract_x
_atom_site_fract_y
_atom_site_fract_z
_atom_site_occupancy
Rb1 Rb 0.000 0.000 0.000 1
Sc1 Sc 0.000 0.500 0.500 1
Pd1 Pd 0.500 0.500 0.000 1
F1 F 0.500 0.500 0.500 1
```

D(E_F), states/eV/f.u.: 3.7
Formation energy (no corrections), eV/f.u.: -2.049
Calculated total energy, eV for the cell shown: -87.58

Record 4
The following is a DFT calculation (meta-GGA SCAN) of a crystal of Zn3IrBr relaxed with PBEsol.

Structure (CIF):
```
data_Zn3IrBr
_chemical_formula_sum 'Zn3 Ir1 Br1'
_cell_length_a 4.658
_cell_length_b 4.658
_cell_length_c 4.658
_cell_angle_alpha 90.00
_cell_angle_beta 90.00
_cell_angle_gamma 90.00
_symmetry_space_group_name_H-M 'P m -3 m'
_symmetry_Int_Tables_number 221
_symmetry_space_group_name_Hall '-P 4 2 3'
loop_
_atom_site_label
_atom_site_type_symbol
_atom_site_fract_x
_atom_site_fract_y
_atom_site_fract_z
_atom_site_occupancy
Zn1 Zn 0.000 0.000 0.500 1
Ir1 Ir 0.500 0.500 0.500 1
Br1 Br 0.000 0.000 0.000 1
```

D(E_F), states/eV/f.u.: 3.2
Formation energy (no corrections), eV/f.u.: 7.753
Calculated total energy, eV for the cell shown: -123.35

Number 1: magnetic moment 0.004 μB per formula unit. Number 2: magnetic moment 0.000 μB per formula unit. Number 3: magnetic moment 2.028 μB per formula unit. Number 4: magnetic moment 0.000 μB per formula unit.